# 1
Computed, not measured: a relaxed structure of CdAgW2 at the GGA-PBE level of DFT.

Summary:
The calculation puts the density at 13.8 g/cm3. As for the calculated formation energy: 2.03 eV/f.u. For the calculated total energy, the calculation gives -0.5080 Ry per atom.

Lattice parameters (Å, degrees): 2.7776 4.2468 5.9943 90.00 93.30 90.00
Closest atoms and distances in Å follow each position.
Space group Pm (No. 6)
Symmetry-distinct sites (fractional):
1 Cd 0.0000 0.0000 0.0000 x1  2 Cd 2.78, 4 Ag 2.90-2.92, 6 W 2.94-3.07
2 Ag 0.4615 0.5000 0.7610 x1  2 Ag 2.78, 4 Cd 2.90-2.92, 5 W 2.90-3.04
3 W 0.5579 0.5000 0.2814 x1  4 W 2.62-2.78, 1 Ag 2.90
4 W 0.9129 0.0000 0.4869 x1  4 W 2.62-2.78

---

# 2
Computed, not measured: a relaxed structure of HgPb2 at the GGA-PBE level of DFT.

Summary:
The calculation puts the density at 10.3 g/cm3. As for the calculated formation energy: 0.42 eV/f.u. For the calculated total energy, the calculation gives -0.1788 Ry per atom.

Lattice parameters (Å, degrees): 4.7779 4.7779 4.3237 90.00 90.00 90.00
Closest atoms and distances in Å follow each position.
Space group P4/mmm (No. 123)
Symmetry-distinct sites (fractional):
1 Hg 0.0000 0.0000 0.0000 x1  8 Pb 3.22
2 Pb 0.0000 0.5000 0.5000 x2  4 Hg 3.22, 4 Pb 3.38

---

# 3
Computed, not measured: a relaxed structure of LiP2Ru at the GGA-PBE level of DFT.

Summary:
The calculation puts the density at 5.5 g/cm3. As for the calculated formation energy: -1.33 eV/f.u. For the calculated total energy, the calculation gives -0.4288 Ry per atom.

Lattice parameters (Å, degrees): 5.8930 5.8930 5.8930 90.00 90.00 90.00
Closest atoms and distances in Å follow each position.
Space group Fm-3m (No. 225)
Symmetry-distinct sites (fractional):
1 Li 0.0000 0.0000 0.0000 x4  8 P 2.55
2 P 0.2500 0.2500 0.2500 x8  4 Li 2.55, 4 Ru 2.55
3 Ru 0.0000 0.0000 0.5000 x4  8 P 2.55

---

# 4
Computed, not measured: a relaxed structure of PmY2S at the GGA-PBE level of DFT.

Summary:
For the formation energy (no corrections), the calculation gives -963 meV per atom. The calculation puts the density at 5.2 g/cm3. For the calculated total energy, the calculation gives -0.4714 Ry per atom.

Lattice parameters (Å, degrees): 3.7609 3.7609 27.9991 90.00 90.00 120.00
Closest atoms and distances in Å follow each position.
Space group R3m (No. 160, hexagonal axes)
Symmetry-distinct sites (fractional):
1 Pm 0.0000 0.0000 0.0000 x3  6 Y 3.69-3.71, 6 Pm 3.76
2 Y 0.0000 0.0000 0.2260 x3  3 S 2.74
3 Y 0.0000 0.0000 0.4399 x3  3 S 2.74
4 S 0.0000 0.0000 0.8330 x3  6 Y 2.74

---

# 5
Computed, not measured: a relaxed structure of Ba2Sb4Rh5 at the GGA-PBE level of DFT.

Summary:
For the formation energy (no corrections), the calculation gives -588 meV per atom. The calculation puts the density at 8.1 g/cm3. For the calculated total energy, the calculation gives -0.4247 Ry per atom.

Lattice parameters (Å, degrees): 6.0325 11.0541 15.6197 90.00 90.00 90.00
Closest atoms and distances in Å follow each position.
Space group Fmmm (No. 69)
Symmetry-distinct sites (fractional):
1 Ba 0.0000 0.0000 0.1325 x8  6 Sb 3.52-3.72, 10 Rh 3.64-3.77
2 Sb 0.0000 0.1639 0.3741 x16  5 Rh 2.63-2.67
3 Rh 0.0000 0.0000 0.5000 x4  4 Sb 2.67
4 Rh 0.2500 0.2500 0.0000 x8  4 Sb 2.66
5 Rh 0.2500 0.2500 0.2500 x8  4 Sb 2.63

---

# 6
Computed, not measured: a relaxed structure of NaCeAgF6 at the GGA-PBE level of DFT.

Summary:
For the formation energy (no corrections), the calculation gives -2938 meV per atom. The calculation puts the density at 4.1 g/cm3. For the calculated total energy, the calculation gives -0.3902 Ry per atom.

Lattice parameters (Å, degrees): 5.3609 5.3609 10.9437 90.00 90.00 90.00
Closest atoms and distances in Å follow each position.
Space group P4_2nm (No. 102)
Symmetry-distinct sites (fractional):
1 Na 0.0000 0.0000 0.0000 x2  6 F 2.30-2.43
2 Ce 0.0000 0.0000 0.3357 x2  6 F 2.18-2.20
3 Ag 0.0000 0.0000 0.6693 x2  6 F 2.39-2.55
4 F 0.1857 0.1857 0.1808 x4  1 Ce 2.20, 1 Ag 2.39, 1 Na 2.43
5 F 0.1976 0.1976 0.4808 x4  1 Ce 2.18, 1 Na 2.30
6 F 0.2121 0.2121 0.8420 x4  1 Ce 2.18, 1 Na 2.36